## MgCdIn2 (SCAN)

Data for a PBEsol-optimized structure of MgCdIn2.

Values from the calculation:
Crystal system ... trigonal
Energy relative to the elements ... -42.3 meV/atom
Uncorrected energy ... -102.330 eV for the cell shown

Unit cell a=9.5562 b=9.5562 c=9.5562 alpha=20.40 beta=20.40 gamma=20.40
Closest atoms and distances in Å follow each position.
Fractional coordinates of all 4 atoms:
Mg 0.0000 0.0000 0.0000  6 In 3.05, 6 Mg 3.38
Cd 0.5000 0.5000 0.5000  6 In 3.04, 6 Cd 3.38
In 0.2497 0.2497 0.2497  3 Cd 3.04, 3 Mg 3.05, 6 In 3.38
In 0.7503 0.7503 0.7503  3 Cd 3.04, 3 Mg 3.05, 6 In 3.38



## MgCdIn2 (SCAN)

Data for a PBEsol-optimized structure of MgCdIn2.

Values from the calculation:
Crystal system ... tetragonal
Energy relative to the elements ... -76.3 meV/atom
Uncorrected energy ... -102.466 eV for the cell shown

Unit cell a=4.5564 b=4.5564 c=4.3898 alpha=90.00 beta=90.00 gamma=90.00
Closest atoms and distances in Å follow each position.
Fractional coordinates of all 4 atoms:
Mg 0.0000 0.0000 0.0000  8 In 3.16, 4 Cd 3.22
Cd 0.5000 0.5000 0.0000  8 In 3.16, 4 Mg 3.22
In 0.0000 0.5000 0.5000  4 Cd 3.16, 4 Mg 3.16, 4 In 3.22
In 0.5000 0.0000 0.5000  4 Cd 3.16, 4 Mg 3.16, 4 In 3.22



## MgCdIn2 (SCAN)

Data for a PBEsol-optimized structure of MgCdIn2.

Values from the calculation:
Crystal system ... tetragonal
Energy relative to the elements ... -50.7 meV/atom
Uncorrected energy ... -102.364 eV for the cell shown

Unit cell a=3.2400 b=3.2400 c=8.7482 alpha=90.00 beta=90.00 gamma=90.00
Closest atoms and distances in Å follow each position.
Fractional coordinates of all 4 atoms:
Mg 0.0000 0.0000 0.0000  4 Cd 3.02, 4 In 3.15, 4 Mg 3.24
Cd 0.5000 0.5000 0.2257  4 Mg 3.02, 4 In 3.19, 4 Cd 3.24
In 0.0000 0.0000 0.4799  4 Cd 3.19, 8 In 3.24-3.31
In 0.5000 0.5000 0.7531  4 Mg 3.15, 8 In 3.24-3.31



## Mg2CdIn (SCAN)

Data for a PBEsol-optimized structure of Mg2CdIn.

Values from the calculation:
Crystal system ... orthorhombic
Energy relative to the elements ... -165.2 meV/atom
Uncorrected energy ... -74.409 eV for the cell shown

Unit cell a=5.4212 b=5.4212 c=3.0930 alpha=90.00 beta=90.00 gamma=107.89
Closest atoms and distances in Å follow each position.
Fractional coordinates of all 4 atoms:
Mg 0.0000 0.5000 0.0000  4 Mg 3.09-3.19, 4 Cd 3.12, 4 In 3.12
Mg 0.5000 0.0000 0.0000  4 Mg 3.09-3.19, 4 Cd 3.12, 4 In 3.12
Cd 0.0000 0.0000 0.5000  2 Cd 3.09, 8 Mg 3.12, 2 In 3.19
In 0.5000 0.5000 0.5000  2 In 3.09, 8 Mg 3.12, 2 Cd 3.19



## Mg2CdIn (SCAN)

Data for a PBEsol-optimized structure of Mg2CdIn.

Values from the calculation:
Crystal system ... monoclinic
Energy relative to the elements ... -110.8 meV/atom
Uncorrected energy ... -74.192 eV for the cell shown

Unit cell a=5.1683 b=3.2812 c=5.5839 alpha=90.00 beta=111.09 gamma=90.00
Closest atoms and distances in Å follow each position.
Fractional coordinates of all 4 atoms:
Mg 0.0000 0.0000 0.0000  2 Cd 3.05, 4 In 3.06, 6 Mg 3.24-3.28
Mg 0.0000 0.5000 0.5000  2 In 3.05, 4 Cd 3.06, 6 Mg 3.24-3.28
Cd 0.5000 0.0000 0.5000  6 Mg 3.05-3.06, 4 In 3.24, 2 Cd 3.28
In 0.5000 0.5000 0.0000  6 Mg 3.05-3.06, 4 Cd 3.24, 2 In 3.28



## Mg2CdIn (SCAN)

Data for a PBEsol-optimized structure of Mg2CdIn.

Values from the calculation:
Crystal system ... monoclinic
Energy relative to the elements ... -113.0 meV/atom
Uncorrected energy ... -74.200 eV for the cell shown

Unit cell a=5.1581 b=5.1581 c=5.7202 alpha=100.57 beta=100.57 gamma=36.34
Closest atoms and distances in Å follow each position.
Fractional coordinates of all 4 atoms:
Mg 0.2483 0.2483 0.2442  3 Cd 3.02-3.06, 3 In 3.07, 6 Mg 3.22-3.33
Mg 0.7517 0.7517 0.7558  3 Cd 3.02-3.06, 3 In 3.07, 6 Mg 3.22-3.33
Cd 0.5000 0.5000 0.0000  6 Mg 3.02-3.06, 2 Cd 3.22, 4 In 3.28
In 0.0000 0.0000 0.5000  6 Mg 3.07, 2 In 3.22, 4 Cd 3.28



## MgCdIn (SCAN)

Data for a PBEsol-optimized structure of MgCdIn.

Values from the calculation:
Crystal system ... orthorhombic
Energy relative to the elements ... -97.3 meV/atom
Uncorrected energy ... -69.066 eV for the cell shown

Unit cell a=6.9569 b=6.9543 c=3.1765 alpha=76.85 beta=76.76 gamma=26.40
Closest atoms and distances in Å follow each position.
Fractional coordinates of all 3 atoms:
Mg 0.0000 0.0000 0.0000  4 Cd 3.04, 4 In 3.17-3.18, 4 Mg 3.18
Cd 0.6557 0.6557 0.3443  4 Mg 3.04, 4 Cd 3.18, 4 In 3.20-3.21
In 0.3295 0.3295 0.6705  4 Mg 3.17-3.18, 4 In 3.18, 4 Cd 3.20-3.21



## Mg2CdIn (SCAN)

Data for a PBEsol-optimized structure of Mg2CdIn.

Values from the calculation:
Crystal system ... tetragonal
Energy relative to the elements ... -171.1 meV/atom
Uncorrected energy ... -74.433 eV for the cell shown

Unit cell a=5.2969 b=5.2969 c=5.2969 alpha=129.43 beta=129.43 gamma=74.32
Closest atoms and distances in Å follow each position.
Fractional coordinates of all 4 atoms:
Mg 0.2500 0.7500 0.5000  4 In 3.09, 4 Cd 3.09, 4 Mg 3.20
Mg 0.7500 0.2500 0.5000  4 In 3.09, 4 Cd 3.09, 4 Mg 3.20
Cd 0.0000 0.0000 0.0000  8 Mg 3.09, 4 In 3.20
In 0.5000 0.5000 0.0000  8 Mg 3.09, 4 Cd 3.20



## Mg2Cd2In (SCAN)

Data for a PBEsol-optimized structure of Mg2Cd2In.

Values from the calculation:
Crystal system ... tetragonal
Energy relative to the elements ... -81.0 meV/atom
Uncorrected energy ... -209.135 eV for the cell shown

Unit cell a=8.4241 b=8.4241 c=3.1377 alpha=90.00 beta=90.00 gamma=90.00
Closest atoms and distances in Å follow each position.
Fractional coordinates of all 10 atoms:
Mg 0.1757 0.3243 0.0000  6 Cd 2.86-3.00, 2 Mg 3.14
Mg 0.3243 0.8243 0.0000  6 Cd 2.86-3.00, 2 Mg 3.14
Mg 0.6757 0.1757 0.0000  6 Cd 2.86-3.00, 2 Mg 3.14
Mg 0.8243 0.6757 0.0000  6 Cd 2.86-3.00, 2 Mg 3.14
Cd 0.1231 0.6231 0.5000  6 Mg 2.86-3.00, 3 Cd 2.93-3.14
Cd 0.3769 0.1231 0.5000  6 Mg 2.86-3.00, 3 Cd 2.93-3.14
Cd 0.6231 0.8769 0.5000  6 Mg 2.86-3.00, 3 Cd 2.93-3.14
Cd 0.8769 0.3769 0.5000  6 Mg 2.86-3.00, 3 Cd 2.93-3.14
In 0.0000 0.0000 0.5000  2 In 3.14, 4 Cd 3.34, 8 Mg 3.48
In 0.5000 0.5000 0.5000  2 In 3.14, 4 Cd 3.34, 8 Mg 3.48



## MgCdIn (SCAN)

Data for a PBEsol-optimized structure of MgCdIn.

Values from the calculation:
Crystal system ... orthorhombic
Energy relative to the elements ... -92.9 meV/atom
Uncorrected energy ... -69.053 eV for the cell shown

Unit cell a=5.3367 b=5.3367 c=5.3367 alpha=143.76 beta=131.48 gamma=62.03
Closest atoms and distances in Å follow each position.
Fractional coordinates of all 3 atoms:
Mg 0.0000 0.0000 0.0000  5 In 3.04-3.15, 5 Cd 3.06-3.14, 2 Mg 3.32
Cd 0.6657 0.6657 0.0000  5 In 3.05-3.14, 5 Mg 3.06-3.14, 2 Cd 3.32
In 0.3318 0.3318 0.0000  5 Mg 3.04-3.15, 5 Cd 3.05-3.14, 2 In 3.32



## Mg2CdIn (SCAN)

Data for a PBEsol-optimized structure of Mg2CdIn.

Values from the calculation:
Crystal system ... monoclinic
Energy relative to the elements ... -132.3 meV/atom
Uncorrected energy ... -74.277 eV for the cell shown

Unit cell a=5.4776 b=5.4776 c=5.2700 alpha=98.33 beta=98.33 gamma=34.12
Closest atoms and distances in Å follow each position.
Fractional coordinates of all 4 atoms:
Mg 0.0000 0.0000 0.0000  3 In 3.03-3.15, 4 Cd 3.04-3.13, 5 Mg 3.15-3.25
Mg 0.2464 0.2464 0.7242  3 Cd 3.04-3.10, 4 In 3.08-3.09, 5 Mg 3.15-3.25
Cd 0.5001 0.5001 0.5094  7 Mg 3.04-3.13, 3 In 3.21-3.24, 2 Cd 3.21
In 0.7503 0.7503 0.2258  7 Mg 3.03-3.15, 3 Cd 3.21-3.24, 2 In 3.21



## MgCdIn2 (SCAN)

Data for a PBEsol-optimized structure of MgCdIn2.

Values from the calculation:
Crystal system ... tetragonal
Energy relative to the elements ... -67.2 meV/atom
Uncorrected energy ... -102.430 eV for the cell shown

Unit cell a=5.5798 b=5.5798 c=5.5798 alpha=133.07 beta=133.07 gamma=68.54
Closest atoms and distances in Å follow each position.
Fractional coordinates of all 4 atoms:
Mg 0.0000 0.0000 0.0000  8 In 3.14-3.20, 4 Cd 3.20
Cd 0.7500 0.2500 0.5000  8 In 3.14-3.20, 4 Mg 3.20
In 0.2500 0.7500 0.5000  4 Cd 3.14, 4 In 3.20, 4 Mg 3.20
In 0.5000 0.5000 0.0000  4 Mg 3.14, 4 Cd 3.20, 4 In 3.20